Na2ErTl3 | Alexandria via LeMat-Bulk | PBE | relaxed; volume = 327.46 Å³/cell; total DFT energy (no corrections) = -30.58 eV/cell; magnetization = 0.00 μB per formula unit; formation energy = -0.165 eV per atom; space-group type = Cmmm (65)
1.0
5.345 0.000 0.022
2.672 8.014 0.011
-0.031 0.000 7.644
Na Er Tl
4 2 6
Direct
0.000 0.000 0.000
0.000 0.000 0.500
0.336 0.328 0.500
0.664 0.672 0.500
0.334 0.333 0.000
0.666 0.667 0.000
0.833 0.333 0.755
0.500 0.000 0.240
0.167 0.667 0.245
0.833 0.333 0.245
0.167 0.667 0.755
0.500 0.000 0.760